(1)
An optimized crystal structure of Ca4MgPb15, computed with GGA-PBE.

```
20
Lattice="5.0167 0.0000 0.0000 0.0000 5.0167 0.0000 0.0000 0.0000 23.8453" Properties=species:S:1:pos:R:3 pbc="T T T"
Ca 0.0000 0.0000 2.3984
Ca 0.0000 0.0000 7.1602
Ca 0.0000 0.0000 16.6851
Ca 0.0000 0.0000 21.4469
Mg 0.0000 0.0000 11.9227
Pb 0.0000 2.5083 0.0000
Pb 0.0000 2.5083 4.7921
Pb 0.0000 2.5083 9.6490
Pb 0.0000 2.5083 14.1963
Pb 0.0000 2.5083 19.0532
Pb 2.5083 0.0000 0.0000
Pb 2.5083 0.0000 4.7921
Pb 2.5083 0.0000 9.6490
Pb 2.5083 0.0000 14.1963
Pb 2.5083 0.0000 19.0532
Pb 2.5083 2.5083 2.3936
Pb 2.5083 2.5083 7.2248
Pb 2.5083 2.5083 11.9227
Pb 2.5083 2.5083 16.6205
Pb 2.5083 2.5083 21.4517
```

Summary:
**DOS(E_F)**: 12.27 states/eV per cell
**ΔH_f (0 K)**: -0.240 eV per atom

=====

(2)
An optimized crystal structure of Sc2CrHPd, computed with GGA-PBE.

```
5
Lattice="5.2555 0.0000 0.0000 0.0000 5.2555 0.0000 0.0000 0.0000 3.3090" Properties=species:S:1:pos:R:3 pbc="T T T"
Sc 0.0000 2.6278 0.0000
Sc 2.6278 0.0000 0.0000
Cr 0.0000 0.0000 1.6545
H 2.6278 2.6278 1.6545
Pd 2.6278 2.6278 0.0000
```

Summary:
**Distance to the lowest polymorph of the same formula**: 622.6 meV/atom
**DOS(E_F)**: 5.80 states/eV per cell

=====

(3)
An optimized crystal structure of CrAsSe, computed with GGA-PBE.

```
3
Lattice="-1.4620 1.4620 6.7845 1.4620 -1.4620 6.7845 1.4620 1.4620 -6.7845" Properties=species:S:1:pos:R:3 pbc="T T T"
Cr 0.0000 0.0000 0.0000
As 0.0000 0.0000 8.4908
Se 0.0000 0.0000 5.3762
```

Summary:
**Raw formation energy**: -0.16 eV per formula unit
**DOS(E_F)**: 2.20 states/eV per cell

=====

(4)
An optimized crystal structure of DyAlCu, computed with GGA-PBE.

```
6
Lattice="-2.7188 2.7361 3.7315 2.7188 -2.7361 3.7315 2.7188 2.7361 -3.7315" Properties=species:S:1:pos:R:3 pbc="T T T"
Dy 0.0000 1.3681 0.9102
Dy 2.7188 1.3681 2.8213
Al 2.7188 0.0000 0.0000
Al 0.0000 0.0000 3.7315
Cu 1.3594 1.3681 -1.8657
Cu 1.3594 -1.3681 1.8657
```

Summary:
**DOS(E_F)**: 3.85 states/eV per cell
**ΔH_f (0 K)**: -0.388 eV per atom

=====

(5)
An optimized crystal structure of SrHoI2, computed with GGA-PBE.

```
4
Lattice="2.0283 1.1711 11.2649 -2.0283 1.1711 11.2649 0.0000 -2.3421 11.2649" Properties=species:S:1:pos:R:3 pbc="T T T"
Sr 0.0000 0.0000 0.0000
Ho 0.0000 0.0000 16.8974
I 0.0000 0.0000 3.5761
I 0.0000 0.0000 30.2187
```

Summary:
**Raw formation energy**: -3.16 eV per formula unit
**DOS(E_F)**: 4.13 states/eV per cell

=====

(6)
An optimized crystal structure of LiPuCu17, computed with GGA-PBE.

```
19
Lattice="4.2393 2.4476 4.1646 -4.2393 2.4476 4.1646 0.0000 -4.8952 4.1646" Properties=species:S:1:pos:R:3 pbc="T T T"
Li 0.0000 0.0000 0.0000
Pu 0.0000 0.0000 3.9766
Cu 0.0000 -2.4904 2.1668
Cu -2.1567 1.2452 2.1668
Cu -2.1051 -1.2154 6.1438
Cu 0.0000 -2.4765 6.0069
Cu -2.1447 1.2382 6.0069
Cu -1.2916 -2.1888 8.2442
Cu -2.5414 -0.0242 8.2442
Cu 2.1567 1.2452 2.1668
Cu 0.0000 0.0000 7.0588
Cu 2.1051 -1.2154 6.1438
Cu 0.0000 2.4308 6.1438
Cu 1.2916 -2.1888 8.2442
Cu -1.2497 2.2130 8.2442
Cu 0.0000 0.0000 9.5026
Cu 2.1447 1.2382 6.0068
Cu 2.5414 -0.0242 8.2442
Cu 1.2497 2.2130 8.2442
```

Summary:
**DOS(E_F)**: 21.49 states/eV per cell
**ΔH_f (0 K)**: 0.022 eV per atom

=====

(7)
An optimized crystal structure of PmGa2Tc2, computed with GGA-PBE.

```
10
Lattice="-2.0915 2.1269 10.9116 2.0915 -2.1269 10.9116 2.0915 2.1269 -10.9116" Properties=species:S:1:pos:R:3 pbc="T T T"
Pm 0.0000 1.0635 2.1133
Pm 2.0915 1.0635 8.7984
Ga 2.0915 1.0635 -3.1177
Ga 2.0915 1.0635 -0.5870
Ga 0.0000 1.0635 11.4986
Ga 0.0000 1.0635 14.0293
Tc 2.0915 -1.0635 6.1638
Tc 2.0915 1.0635 4.7415
Tc 0.0000 1.0635 6.1701
Tc 0.0000 3.1904 4.7478
```

Summary:
**DOS(E_F)**: 6.15 states/eV per cell
**ΔH_f (0 K)**: -0.407 eV per atom

=====

(8)
An optimized crystal structure of LiTa2Pb, computed with GGA-PBE.

```
4
Lattice="2.9408 0.0000 0.0000 0.0000 2.9408 0.0000 0.0000 0.0000 9.3499" Properties=species:S:1:pos:R:3 pbc="T T T"
Li 0.0000 0.0000 0.0000
Ta 0.0000 0.0000 4.7772
Ta 1.4704 1.4704 6.9735
Pb 1.4704 1.4704 2.3411
```

Summary:
**DOS(E_F)**: 3.34 states/eV per cell
**ΔH_f (0 K)**: 0.334 eV per atom

=====

Question: Which formula does entry 2 have?
Answer: Sc2CrHPd